Record 1
Here is a relaxed structure of TlCo2AsBr from Alexandria. Energies are from GGA-PBE.

Output
**V**: 25.04 Å³/atom
**Raw formation energy**: 500 meV per atom
**Calculated density**: 6.33 Mg/m³

a = 4.518 Å, b = 4.518 Å, c = 6.133 Å
α = 90.00°, β = 90.00°, γ = 90.00°
Sites, in units of the cell vectors:
Tl 0.000 0.000 0.000
Co 0.000 0.500 0.500
Co 0.500 0.000 0.500
As 0.500 0.500 0.500
Br 0.500 0.500 0.000



Record 2
Here is a relaxed structure of Th2CSe2 from Alexandria. Energies are from GGA-PBE.

Output
**V**: 25.20 Å³/atom
**Raw formation energy**: -1236 meV per atom
**Calculated density**: 8.36 Mg/m³

a = 7.444 Å, b = 7.444 Å, c = 7.444 Å
α = 122.13°, β = 78.50°, γ = 131.89°
Sites, in units of the cell vectors:
Th 0.099 0.198 0.297
Th 0.401 0.698 0.099
Th 0.599 0.302 0.901
Th 0.901 0.802 0.703
C 0.250 0.250 0.000
C 0.750 0.750 0.000
Se 0.143 0.635 0.778
Se 0.357 0.135 0.491
Se 0.643 0.865 0.509
Se 0.857 0.365 0.222



Record 3
Here is a relaxed structure of Cs2SOF6 from Alexandria. Energies are from GGA-PBE.

Output
**V**: 19.73 Å³/atom
**Raw formation energy**: -1644 meV per atom
**Calculated density**: 3.60 Mg/m³

a = 6.630 Å, b = 6.630 Å, c = 6.630 Å
α = 122.61°, β = 122.61°, γ = 85.54°
Sites, in units of the cell vectors:
Cs 0.250 0.750 0.500
Cs 0.750 0.250 0.500
S 0.000 0.000 0.000
O 0.500 0.500 0.000
F 0.191 0.191 0.000
F 0.207 0.207 0.413
F 0.207 0.793 0.000
F 0.793 0.207 0.000
F 0.793 0.793 0.587
F 0.809 0.809 0.000



Among the records above, which one has the highest V? Th2CSe2



Which formula does entry 2 have? Th2CSe2



calculated density of number 2 (Th2CSe2)? 8.36 Mg/m³